[1]
A plane-wave DFT calculation with PBEsol was carried out for Li2MgAu after structural relaxation.

The structure in CIF format:
```
data_Li2MgAu
_chemical_formula_sum 'Li2 Mg1 Au1'
_cell_length_a 3.2841
_cell_length_b 3.2841
_cell_length_c 6.3817
_cell_angle_alpha 90.00
_cell_angle_beta 90.00
_cell_angle_gamma 90.00
_space_group_name_H-M_alt 'P 1'
_space_group_IT_number 1
_space_group_name_Hall 'P 1'
loop_
_atom_site_label
_atom_site_fract_x
_atom_site_fract_y
_atom_site_fract_z
Li1 0.0000 0.0000 0.0000
Li2 0.5000 0.5000 0.2487
Mg1 0.0000 0.0000 0.5514
Au1 0.5000 0.5000 0.7927
```

DFT formation energy ... -130 kJ/mol of formula units

[2]
A plane-wave DFT calculation with PBEsol was carried out for Pd3PbC after structural relaxation.

The structure in CIF format:
```
data_Pd3PbC
_chemical_formula_sum 'Pd3 Pb1 C1'
_cell_length_a 4.2223
_cell_length_b 4.2223
_cell_length_c 4.2223
_cell_angle_alpha 90.00
_cell_angle_beta 90.00
_cell_angle_gamma 90.00
_space_group_name_H-M_alt 'P 1'
_space_group_IT_number 1
_space_group_name_Hall 'P 1'
loop_
_atom_site_label
_atom_site_fract_x
_atom_site_fract_y
_atom_site_fract_z
Pd1 0.0000 0.0000 0.5000
Pd2 0.0000 0.5000 0.0000
Pd3 0.5000 0.0000 0.0000
Pb1 0.5000 0.5000 0.5000
C1 0.0000 0.0000 0.0000
```

DFT formation energy ... 76 kJ/mol of formula units

[3]
A plane-wave DFT calculation with PBEsol was carried out for Y2RuRh after structural relaxation.

The structure in CIF format:
```
data_Y2RuRh
_chemical_formula_sum 'Y2 Ru1 Rh1'
_cell_length_a 4.7516
_cell_length_b 4.7516
_cell_length_c 4.7516
_cell_angle_alpha 60.00
_cell_angle_beta 60.00
_cell_angle_gamma 60.00
_space_group_name_H-M_alt 'P 1'
_space_group_IT_number 1
_space_group_name_Hall 'P 1'
loop_
_atom_site_label
_atom_site_fract_x
_atom_site_fract_y
_atom_site_fract_z
Y1 0.2500 0.2500 0.2500
Y2 0.7500 0.7500 0.7500
Ru1 0.0000 0.0000 0.0000
Rh1 0.5000 0.5000 0.5000
```

DFT formation energy ... -208 kJ/mol of formula units

[4]
A plane-wave DFT calculation with PBEsol was carried out for CuAgPt2 after structural relaxation.

The structure in CIF format:
```
data_CuAgPt2
_chemical_formula_sum 'Cu1 Ag1 Pt2'
_cell_length_a 5.3583
_cell_length_b 5.3583
_cell_length_c 2.7031
_cell_angle_alpha 104.12
_cell_angle_beta 104.12
_cell_angle_gamma 119.78
_space_group_name_H-M_alt 'P 1'
_space_group_IT_number 1
_space_group_name_Hall 'P 1'
loop_
_atom_site_label
_atom_site_fract_x
_atom_site_fract_y
_atom_site_fract_z
Cu1 0.0000 0.0000 0.0000
Ag1 0.5000 0.5000 0.0000
Pt1 0.0000 0.5000 0.5000
Pt2 0.5000 0.0000 0.5000
```

DFT formation energy ... -4 kJ/mol of formula units

[5]
A plane-wave DFT calculation with PBEsol was carried out for KCo2Sb after structural relaxation.

The structure in CIF format:
```
data_KCo2Sb
_chemical_formula_sum 'K1 Co2 Sb1'
_cell_length_a 4.5025
_cell_length_b 4.5025
_cell_length_c 4.5025
_cell_angle_alpha 60.00
_cell_angle_beta 60.00
_cell_angle_gamma 60.00
_space_group_name_H-M_alt 'P 1'
_space_group_IT_number 1
_space_group_name_Hall 'P 1'
loop_
_atom_site_label
_atom_site_fract_x
_atom_site_fract_y
_atom_site_fract_z
K1 0.0000 0.0000 0.0000
Co1 0.2500 0.2500 0.2500
Co2 0.7500 0.7500 0.7500
Sb1 0.5000 0.5000 0.5000
```

ΔE_f (raw) ... 0.78 eV per atom

[6]
A plane-wave DFT calculation with PBEsol was carried out for Cs2HfF6 after structural relaxation.

The structure in CIF format:
```
data_Cs2HfF6
_chemical_formula_sum 'Cs2 Hf1 F6'
_cell_length_a 6.3036
_cell_length_b 6.3036
_cell_length_c 4.9792
_cell_angle_alpha 90.00
_cell_angle_beta 90.00
_cell_angle_gamma 120.00
_space_group_name_H-M_alt 'P 1'
_space_group_IT_number 1
_space_group_name_Hall 'P 1'
loop_
_atom_site_label
_atom_site_fract_x
_atom_site_fract_y
_atom_site_fract_z
Cs1 0.3333 0.6667 0.3058
Cs2 0.6667 0.3333 0.6942
Hf1 0.0000 0.0000 0.0000
F1 0.1522 0.3045 0.7781
F2 0.1522 0.8478 0.7781
F3 0.3045 0.1522 0.2219
F4 0.6955 0.8478 0.7781
F5 0.8478 0.1522 0.2219
F6 0.8478 0.6955 0.2219
```

ΔE_f (raw) ... -3.50 eV per atom

[7]
A plane-wave DFT calculation with PBEsol was carried out for YFeC3 after structural relaxation.

The structure in CIF format:
```
data_YFeC3
_chemical_formula_sum 'Y1 Fe1 C3'
_cell_length_a 3.7730
_cell_length_b 3.7730
_cell_length_c 3.7730
_cell_angle_alpha 90.00
_cell_angle_beta 90.00
_cell_angle_gamma 90.00
_space_group_name_H-M_alt 'P 1'
_space_group_IT_number 1
_space_group_name_Hall 'P 1'
loop_
_atom_site_label
_atom_site_fract_x
_atom_site_fract_y
_atom_site_fract_z
Y1 0.0000 0.0000 0.0000
Fe1 0.5000 0.5000 0.5000
C1 0.0000 0.5000 0.5000
C2 0.5000 0.0000 0.5000
C3 0.5000 0.5000 0.0000
```

DFT formation energy ... 445 kJ/mol of formula units

[8]
A plane-wave DFT calculation with PBEsol was carried out for MgCdAu2 after structural relaxation.

The structure in CIF format:
```
data_MgCdAu2
_chemical_formula_sum 'Mg1 Cd1 Au2'
_cell_length_a 5.1566
_cell_length_b 5.1566
_cell_length_c 5.1566
_cell_angle_alpha 133.66
_cell_angle_beta 133.66
_cell_angle_gamma 67.62
_space_group_name_H-M_alt 'P 1'
_space_group_IT_number 1
_space_group_name_Hall 'P 1'
loop_
_atom_site_label
_atom_site_fract_x
_atom_site_fract_y
_atom_site_fract_z
Mg1 0.0000 0.0000 0.0000
Cd1 0.2500 0.7500 0.5000
Au1 0.5000 0.5000 0.0000
Au2 0.7500 0.2500 0.5000
```

DFT formation energy ... -150 kJ/mol of formula units

[9]
A plane-wave DFT calculation with PBEsol was carried out for HgSe2N after structural relaxation.

The structure in CIF format:
```
data_HgSe2N
_chemical_formula_sum 'Hg2 Se4 N2'
_cell_length_a 6.9919
_cell_length_b 6.9919
_cell_length_c 6.9919
_cell_angle_alpha 135.06
_cell_angle_beta 135.06
_cell_angle_gamma 65.44
_space_group_name_H-M_alt 'P 1'
_space_group_IT_number 1
_space_group_name_Hall 'P 1'
loop_
_atom_site_label
_atom_site_fract_x
_atom_site_fract_y
_atom_site_fract_z
Hg1 0.0000 0.0000 0.0000
Hg2 0.7500 0.2500 0.5000
Se1 0.2315 0.6250 0.1065
Se2 0.3750 0.4815 0.6065
Se3 0.5185 0.1250 0.8935
Se4 0.8750 0.7685 0.3935
N1 0.2500 0.7500 0.5000
N2 0.5000 0.5000 0.0000
```

ΔE_f (raw) ... 0.69 eV per atom

[10]
A plane-wave DFT calculation with PBEsol was carried out for TaTl2Cu after structural relaxation.

The structure in CIF format:
```
data_TaTl2Cu
_chemical_formula_sum 'Ta1 Tl2 Cu1'
_cell_length_a 9.4062
_cell_length_b 9.4062
_cell_length_c 9.4062
_cell_angle_alpha 18.90
_cell_angle_beta 18.90
_cell_angle_gamma 18.90
_space_group_name_H-M_alt 'P 1'
_space_group_IT_number 1
_space_group_name_Hall 'P 1'
loop_
_atom_site_label
_atom_site_fract_x
_atom_site_fract_y
_atom_site_fract_z
Ta1 0.0000 0.0000 0.0000
Tl1 0.2440 0.2440 0.2440
Tl2 0.7560 0.7560 0.7560
Cu1 0.5000 0.5000 0.5000
```

DFT formation energy ... 193 kJ/mol of formula units

[11]
A plane-wave DFT calculation with PBEsol was carried out for K2TcRu after structural relaxation.

The structure in CIF format:
```
data_K2TcRu
_chemical_formula_sum 'K2 Tc1 Ru1'
_cell_length_a 6.2833
_cell_length_b 6.2833
_cell_length_c 6.2833
_cell_angle_alpha 145.51
_cell_angle_beta 124.55
_cell_angle_gamma 66.96
_space_group_name_H-M_alt 'P 1'
_space_group_IT_number 1
_space_group_name_Hall 'P 1'
loop_
_atom_site_label
_atom_site_fract_x
_atom_site_fract_y
_atom_site_fract_z
K1 0.0000 0.0000 0.0000
K2 0.7037 0.2037 0.5000
Tc1 0.4048 0.4048 0.0000
Ru1 0.2881 0.7881 0.5000
```

DFT formation energy ... 437 kJ/mol of formula units

[12]
A plane-wave DFT calculation with PBEsol was carried out for Sc2Rh after structural relaxation.

The structure in CIF format:
```
data_Sc2Rh
_chemical_formula_sum 'Sc4 Rh2'
_cell_length_a 5.7944
_cell_length_b 5.7944
_cell_length_c 6.2380
_cell_angle_alpha 90.00
_cell_angle_beta 90.00
_cell_angle_gamma 145.78
_space_group_name_H-M_alt 'P 1'
_space_group_IT_number 1
_space_group_name_Hall 'P 1'
loop_
_atom_site_label
_atom_site_fract_x
_atom_site_fract_y
_atom_site_fract_z
Sc1 0.0232 0.9768 0.5000
Sc2 0.2920 0.7080 0.3138
Sc3 0.7080 0.2920 0.8138
Sc4 0.9768 0.0232 0.0000
Rh1 0.3811 0.6189 0.7134
Rh2 0.6189 0.3811 0.2134
```

DFT formation energy ... -172 kJ/mol of formula units

| no. | total moment (μB/cell) |
| --- | --- |
| 1 | 0.00 |
| 2 | 0.00 |
| 3 | 0.00 |
| 4 | 0.00 |
| 5 | 0.00 |
| 6 | 0.10 |
| 7 | 1.80 |
| 8 | 0.00 |
| 9 | 0.00 |
| 10 | 0.00 |
| 11 | 0.00 |
| 12 | 0.00 |